Below is crystalline Zn2AgCl at its relaxed geometry, with properties calculated at the GGA-PBE level. Values from VASP.

Summary:
Theoretical density   6.17 g/cm3
Polymorph energy (0 for the lowest one)   180 meV/atom
Symmetry   P4/mmm
Final energy   -1.804 eV per atom
Formation energy without anion corrections   0.01 eV per atom

Quantum ESPRESSO input file:
```
&SYSTEM
  ibrav = 0, nat = 4, ntyp = 3
/
ATOMIC_SPECIES
Zn 65.41 Zn.upf
Ag 107.87 Ag.upf
Cl 35.45 Cl.upf
CELL_PARAMETERS angstrom
-4.5522 1.9362 -0.8603
-0.4294 -2.8396 -4.1187
-1.2094 -2.1338 1.5972
ATOMIC_POSITIONS crystal
Zn 0.0000 0.0000 0.0000
Zn 0.5000 0.5000 0.0000
Ag 0.5000 0.0000 0.5000
Cl 0.0000 0.5000 0.5000
```